The following is a DFT calculation (PBE) of a geometry-optimized TbZn2Pt2 structure.

Results
**Formation enthalpy at 0 K**: -0.822 eV/atom
**Excess energy over the best structure of this formula in the dataset**: 0 meV per atom

a = 6.866 Å, b = 6.866 Å, c = 6.866 Å
α = 147.55°, β = 147.55°, γ = 46.55°
Element x y z (fractional)
Tb 0.000 0.000 0.000
Zn 0.250 0.750 0.500
Zn 0.750 0.250 0.500
Pt 0.392 0.392 0.000
Pt 0.608 0.608 0.000